No. 1
The following is a PBE-GGA calculation of BaZnReS2 after structural relaxation, from Alexandria via LeMat-Bulk.

Cell and atoms, written as extended XYZ:
```
5
Lattice="4.769 0.000 0.000 0.000 4.769 0.000 0.000 0.000 5.980" Properties=species:S:1:pos:R:3 pbc="T T T"
S 0.000 2.384 0.000
S 2.384 0.000 0.000
Re 2.384 2.384 2.990
Zn 0.000 0.000 0.000
Ba 0.000 0.000 2.990
```

Properties
Crystal system = tetragonal
D(E_F) = 1.8 states/eV per cell


No. 2
The following is a PBE-GGA calculation of Mn2Fe4S after structural relaxation, from Alexandria via LeMat-Bulk.

Cell and atoms, written as extended XYZ:
```
7
Lattice="-2.184 -1.811 -2.866 0.344 -3.510 1.956 -6.061 -1.418 2.678" Properties=species:S:1:pos:R:3 pbc="T T T"
S 0.000 0.000 0.000
Mn -5.690 -4.391 1.436
Mn -2.211 -2.349 0.332
Fe -3.669 -4.879 0.205
Fe -4.232 -1.860 1.563
Fe 0.172 -1.755 0.978
Fe -1.092 -0.906 -1.433
```

Properties
Crystal system = tetragonal
D(E_F) = 7.2 states/eV per cell


No. 3
The following is a PBE-GGA calculation of BSb2TeIr after structural relaxation, from Alexandria via LeMat-Bulk.

Cell and atoms, written as extended XYZ:
```
5
Lattice="-0.402 4.019 2.996 -4.176 1.394 -2.430 -3.169 -3.066 3.688" Properties=species:S:1:pos:R:3 pbc="T T T"
Sb -2.088 0.697 -1.215
Sb -0.201 2.009 1.498
B -3.874 1.173 2.127
Ir 0.000 0.000 0.000
Te -1.585 -1.533 1.844
```

Properties
Crystal system = tetragonal
D(E_F) = 5.1 states/eV per cell
Offset from the most stable computed form = 344.7 meV per atom


No. 4
The following is a PBE-GGA calculation of K2U2Se5 after structural relaxation, from Alexandria via LeMat-Bulk.

Cell and atoms, written as extended XYZ:
```
18
Lattice="-0.080 4.500 6.491 -7.290 2.439 -1.781 0.547 -7.384 5.127" Properties=species:S:1:pos:R:3 pbc="T T T"
K -1.270 -2.527 1.737
K -4.955 0.942 4.091
K -5.473 -2.418 1.609
K -1.868 -1.387 5.745
U -6.181 5.018 2.782
U -1.189 1.921 1.927
U -4.819 2.325 -0.140
U -2.551 4.614 4.849
Se 0.000 0.000 0.000
Se -3.685 3.470 2.355
Se -5.480 4.022 5.353
Se -3.293 0.123 1.277
Se -6.955 2.279 1.737
Se -1.819 1.866 4.892
Se -1.342 -4.467 4.484
Se -3.529 -0.568 8.559
Se 0.132 -2.724 8.099
Se -5.004 -2.311 4.944
```

Properties
Crystal system = orthorhombic
D(E_F) = 17.0 states/eV per cell
Offset from the most stable computed form = 0.0 meV per atom


No. 5
The following is a PBE-GGA calculation of Pr10Nd4Sm after structural relaxation, from Alexandria via LeMat-Bulk.

Cell and atoms, written as extended XYZ:
```
15
Lattice="7.363 0.000 3.325 3.681 8.252 1.662 0.285 0.000 9.183" Properties=species:S:1:pos:R:3 pbc="T T T"
Pr 3.824 4.126 6.254
Pr 6.235 1.756 9.943
Pr 1.413 1.757 2.565
Pr 6.825 6.496 10.210
Pr 8.185 6.496 5.624
Pr 5.094 6.496 4.228
Pr 7.505 4.126 7.916
Pr 3.144 1.756 8.547
Pr 4.504 1.757 3.960
Pr 9.916 6.496 11.606
Nd 5.513 8.249 7.421
Nd 7.650 3.758 12.505
Nd 3.680 4.495 1.665
Nd 5.816 0.003 6.749
Sm 0.000 0.000 0.000
```

Properties
Crystal system = tetragonal
ΔE_f = 5.1 kcal/mol of atoms
D(E_F) = 22.4 states/eV per cell


No. 6
The following is a PBE-GGA calculation of Ti2CrRh7 after structural relaxation, from Alexandria via LeMat-Bulk.

Cell and atoms, written as extended XYZ:
```
10
Lattice="-2.330 -0.813 1.298 4.500 -5.001 4.944 -1.695 7.943 1.933" Properties=species:S:1:pos:R:3 pbc="T T T"
Ti 1.304 -1.165 4.606
Ti -0.830 3.294 3.569
Cr 0.000 0.000 0.000
Rh 3.315 -2.526 4.368
Rh -0.510 5.468 2.509
Rh -1.132 1.439 1.864
Rh 1.607 0.690 6.310
Rh 0.022 -0.972 2.425
Rh 0.453 3.101 5.749
Rh 0.237 1.064 4.087
```

Properties
Crystal system = orthorhombic
ΔE_f = 3.2 kcal/mol of atoms
D(E_F) = 15.4 states/eV per cell


No. 7
The following is a PBE-GGA calculation of LaAu2Cl6 after structural relaxation, from Alexandria via LeMat-Bulk.

Cell and atoms, written as extended XYZ:
```
18
Lattice="-3.783 -0.147 6.221 -7.873 -4.368 -3.026 2.153 -8.763 2.966" Properties=species:S:1:pos:R:3 pbc="T T T"
La 0.257 -8.383 3.953
La -9.760 -4.895 2.208
Au -4.103 -8.791 2.960
Au -1.546 -5.273 1.263
Au -5.400 -4.486 3.201
Au -7.957 -8.004 4.898
Cl -6.253 -7.978 2.921
Cl -6.445 -4.801 5.571
Cl -3.249 -5.299 3.240
Cl -3.058 -8.476 0.590
Cl -9.686 -7.453 3.389
Cl -7.379 -3.412 2.494
Cl 0.183 -5.824 2.772
Cl -2.124 -9.865 3.667
Cl -4.874 -12.159 1.164
Cl -1.251 -1.696 2.775
Cl -4.629 -1.118 4.998
Cl -8.252 -11.581 3.386
```

Properties
Crystal system = monoclinic
D(E_F) = 5.5 states/eV per cell


No. 8
The following is a PBE-GGA calculation of AlTc2Hg after structural relaxation, from Alexandria via LeMat-Bulk.

Cell and atoms, written as extended XYZ:
```
4
Lattice="5.019 0.029 0.000 1.936 4.631 0.000 -3.477 -2.330 2.769" Properties=species:S:1:pos:R:3 pbc="T T T"
Al 0.968 2.315 1.385
Hg 2.509 0.015 1.385
Tc 0.000 0.000 0.000
Tc 3.477 2.330 0.000
```

Properties
Crystal system = tetragonal
ΔE_f = 9.4 kcal/mol of atoms
D(E_F) = 6.2 states/eV per cell
Offset from the most stable computed form = 387.9 meV per atom


No. 9
The following is a PBE-GGA calculation of FeRuSCl2 after structural relaxation, from Alexandria via LeMat-Bulk.

Cell and atoms, written as extended XYZ:
```
5
Lattice="4.906 0.000 0.000 0.000 4.906 0.000 0.000 0.000 4.436" Properties=species:S:1:pos:R:3 pbc="T T T"
Ru 0.000 0.000 0.000
S 0.000 0.000 2.218
Fe 2.453 2.453 2.218
Cl 0.000 2.453 0.000
Cl 2.453 0.000 0.000
```

Properties
Crystal system = tetragonal
D(E_F) = 6.5 states/eV per cell
Offset from the most stable computed form = 0.0 meV per atom


No. 10
The following is a PBE-GGA calculation of Ce7BiRu2 after structural relaxation, from Alexandria via LeMat-Bulk.

Cell and atoms, written as extended XYZ:
```
10
Lattice="5.098 0.000 0.000 0.000 7.911 0.655 0.000 -2.902 7.388" Properties=species:S:1:pos:R:3 pbc="T T T"
Ce 0.000 4.914 2.521
Ce 0.000 0.095 5.522
Ce 2.549 -0.230 2.276
Ce 2.549 5.239 5.767
Ce 2.549 2.144 0.798
Ce 2.549 2.865 7.246
Ce 2.549 2.504 4.022
Bi 0.000 0.000 0.000
Ru 2.549 4.644 2.690
Ru 2.549 0.365 5.354
```

Properties
Crystal system = orthorhombic
ΔE_f = -3.4 kcal/mol of atoms
D(E_F) = 28.8 states/eV per cell


No. 11
The following is a PBE-GGA calculation of Li2Co after structural relaxation, from Alexandria via LeMat-Bulk.

Cell and atoms, written as extended XYZ:
```
6
Lattice="-0.152 1.240 4.892 -2.729 1.971 -3.763 -1.768 -4.727 0.127" Properties=species:S:1:pos:R:3 pbc="T T T"
Li -3.259 0.106 0.190
Li -1.390 -1.622 1.067
Li -1.330 0.903 2.843
Li -3.319 -2.419 -1.587
Co -0.720 0.803 0.282
Co -2.161 2.409 0.847
```

Properties
Crystal system = tetragonal
ΔE_f = 5.9 kcal/mol of atoms
D(E_F) = 5.0 states/eV per cell


No. 12
The following is a PBE-GGA calculation of Er3Tl2Cu5S8 after structural relaxation, from Alexandria via LeMat-Bulk.

Cell and atoms, written as extended XYZ:
```
18
Lattice="7.200 0.000 0.020 6.134 3.769 0.020 5.079 1.436 13.494" Properties=species:S:1:pos:R:3 pbc="T T T"
Er 3.512 0.993 8.011
Er 8.629 2.439 11.162
Er 3.703 1.047 2.886
Tl 5.083 1.437 13.455
Tl 7.053 1.994 5.591
Cu 9.706 2.744 0.332
Cu 10.838 3.063 5.517
Cu 14.117 3.990 2.816
Cu 13.874 3.922 9.040
Cu 11.614 3.283 10.176
S 8.512 2.406 2.316
S 4.245 1.200 0.231
S 13.546 3.829 11.482
S 12.044 3.404 3.504
S 2.904 0.821 5.442
S 11.936 3.374 7.751
S 8.325 2.353 8.471
S 17.155 4.849 10.750
```

Properties
Crystal system = monoclinic


| no. | calculated volume (Å³/cell) | DFT total energy (eV/atom) |
| --- | --- | --- |
| 1 | 136.0 | -3.7891 |
| 2 | 100.0 | -7.4443 |
| 3 | 145.4 | -4.0492 |
| 4 | 504.6 | -5.9368 |
| 5 | 550.1 | -4.5531 |
| 6 | 163.3 | -7.5467 |
| 7 | 634.5 | -3.5946 |
| 8 | 64.2 | -5.7883 |
| 9 | 106.8 | -4.6351 |
| 10 | 307.7 | -6.5434 |
| 11 | 91.5 | -3.3879 |
| 12 | 365.7 | -5.0311 |